# Na2TlWF8, relaxed, DFT PBE+U
# - Density of states at the Fermi level: 0.213 states/eV per atom
# - Mass density: 5.004 g/cm³
# - Raw total energy: -4.77 eV/atom
data_Na2TlWF8
_cell_length_a 4.8499
_cell_length_b 5.3128
_cell_length_c 7.5506
_cell_angle_alpha 89.41
_cell_angle_beta 89.62
_cell_angle_gamma 89.02
_space_group_name_H-M_alt 'P -1'
_space_group_IT_number 2
loop_
_space_group_symop_operation_xyz
'x,y,z'
'-x,-y,-z'
loop_
_atom_site_label
_atom_site_type_symbol
_atom_site_fract_x
_atom_site_fract_y
_atom_site_fract_z
_atom_site_occupancy
Na1 Na 0.0024 0.0044 0.2498 1
Tl1 Tl 0.5000 0.5000 0.0000 1
W1 W 0.5000 0.5000 0.5000 1
F1 F 0.1649 0.7993 0.0020 1
F2 F 0.2074 0.7687 0.5012 1
F3 F 0.3123 0.3128 0.6957 1
F4 F 0.3198 0.3114 0.2951 1